[1]
Computed, not measured: an optimized crystal structure of Tm2OsRh at the GGA-PBE level of DFT.

```
data_Tm2OsRh
_symmetry_space_group_name_H-M 'P 1'
_symmetry_Int_Tables_number 1
_symmetry_space_group_name_Hall 'P 1'
_cell_length_a 4.763
_cell_length_b 4.763
_cell_length_c 4.763
_cell_angle_alpha 60.00
_cell_angle_beta 60.00
_cell_angle_gamma 60.00
loop_
_atom_site_label
_atom_site_type_symbol
_atom_site_fract_x
_atom_site_fract_y
_atom_site_fract_z
_atom_site_occupancy
Rh1 Rh 0.000 0.000 0.000 1
Tm1 Tm 0.250 0.250 0.250 1
Tm2 Tm 0.750 0.750 0.750 1
Os1 Os 0.500 0.500 0.500 1
```

Values from the calculation:
The value obtained for the polymorph energy (0 for the lowest one) is 19.2 meV/atom. The total magnetization comes out at 0.0 μB/cell. Its space-group type is Fm-3m. Its energy relative to the elements is -225 kJ/mol of formula units.

[2]
Computed, not measured: an optimized crystal structure of CrHgAs4 at the GGA-PBE level of DFT.

```
data_CrHgAs4
_symmetry_space_group_name_H-M 'P 1'
_symmetry_Int_Tables_number 1
_symmetry_space_group_name_Hall 'P 1'
_cell_length_a 5.630
_cell_length_b 5.630
_cell_length_c 5.630
_cell_angle_alpha 60.00
_cell_angle_beta 60.00
_cell_angle_gamma 60.00
loop_
_atom_site_label
_atom_site_type_symbol
_atom_site_fract_x
_atom_site_fract_y
_atom_site_fract_z
_atom_site_occupancy
Cr1 Cr 0.750 0.750 0.750 1
Hg1 Hg 0.000 0.000 0.000 1
As1 As 0.884 0.372 0.372 1
As2 As 0.372 0.372 0.884 1
As3 As 0.372 0.884 0.372 1
As4 As 0.372 0.372 0.372 1
```

Values from the calculation:
The total magnetization comes out at 4.4 μB/cell. Its space-group type is F-43m. Its energy relative to the elements is 294 kJ/mol of formula units.

[3]
Computed, not measured: an optimized crystal structure of Ta3AlB at the GGA-PBE level of DFT.

```
data_Ta3AlB
_symmetry_space_group_name_H-M 'P 1'
_symmetry_Int_Tables_number 1
_symmetry_space_group_name_Hall 'P 1'
_cell_length_a 4.348
_cell_length_b 4.348
_cell_length_c 4.348
_cell_angle_alpha 90.00
_cell_angle_beta 90.00
_cell_angle_gamma 90.00
loop_
_atom_site_label
_atom_site_type_symbol
_atom_site_fract_x
_atom_site_fract_y
_atom_site_fract_z
_atom_site_occupancy
B1 B 0.000 0.000 0.000 1
Al1 Al 0.500 0.500 0.500 1
Ta1 Ta 0.000 0.500 0.000 1
Ta2 Ta 0.000 0.000 0.500 1
Ta3 Ta 0.500 0.000 0.000 1
```

Values from the calculation:
The value obtained for the polymorph energy (0 for the lowest one) is 0.0 meV/atom. The total magnetization comes out at 0.0 μB/cell. Its space-group type is Pm-3m. Its energy relative to the elements is -18 kJ/mol of formula units.

[4]
Computed, not measured: an optimized crystal structure of Li2In2Pb7 at the GGA-PBE level of DFT.

```
data_Li2In2Pb7
_symmetry_space_group_name_H-M 'P 1'
_symmetry_Int_Tables_number 1
_symmetry_space_group_name_Hall 'P 1'
_cell_length_a 5.090
_cell_length_b 7.892
_cell_length_c 9.114
_cell_angle_alpha 115.66
_cell_angle_beta 106.21
_cell_angle_gamma 90.00
loop_
_atom_site_label
_atom_site_type_symbol
_atom_site_fract_x
_atom_site_fract_y
_atom_site_fract_z
_atom_site_occupancy
Li1 Li 0.000 0.655 0.000 1
Li2 Li 0.500 0.340 0.000 1
In1 In 0.304 0.941 0.607 1
In2 In 0.696 0.334 0.393 1
Pb1 Pb 0.147 0.046 0.295 1
Pb2 Pb 0.106 0.434 0.212 1
Pb3 Pb 0.500 0.941 0.000 1
Pb4 Pb 0.346 0.441 0.692 1
Pb5 Pb 0.654 0.749 0.308 1
Pb6 Pb 0.853 0.751 0.705 1
Pb7 Pb 0.894 0.222 0.788 1
```

Values from the calculation:
The total magnetization comes out at 0.0 μB/cell. Its space-group type is Imm2. Its energy relative to the elements is -32 kJ/mol of formula units.